## CoSnSeO (PBE+U)

Data for crystalline CoSnSeO at its relaxed geometry.

Properties
- relative energy among the computed polymorphs (eV/atom) = 0.098
- E (eV per atom) = -4.959

Unit cell a=5.7406 b=7.5567 c=7.9287 alpha=90.00 beta=90.00 gamma=90.00
With the nearest neighbours (Å) after each atom.
Fractional coordinates of all 16 atoms:
Co (0.1652, 0.2270, 0.0885)  2 O 1.93-1.94
Co (0.3348, 0.7730, 0.5885)  2 O 1.93-1.94
Co (0.6652, 0.2730, 0.9115)  2 O 1.93-1.94
Co (0.8348, 0.7270, 0.4115)  2 O 1.93-1.94
Sn (0.1596, 0.2637, 0.6470)  1 O 2.06
Sn (0.3404, 0.7363, 0.1470)  1 O 2.06
Sn (0.6596, 0.2363, 0.3530)  1 O 2.06
Sn (0.8404, 0.7637, 0.8530)  1 O 2.06
Se (0.0339, 0.9930, 0.2811)  2 Co 2.45-2.53
Se (0.4661, 0.0070, 0.7811)  2 Co 2.45-2.53
Se (0.5339, 0.5070, 0.7189)  2 Co 2.45-2.53
Se (0.9661, 0.4930, 0.2189)  2 Co 2.45-2.53
O (0.0023, 0.7400, 0.6219)  2 Co 1.93-1.94, 1 Sn 2.06
O (0.4977, 0.2600, 0.1219)  2 Co 1.93-1.94, 1 Sn 2.06
O (0.5023, 0.7600, 0.3781)  2 Co 1.93-1.94, 1 Sn 2.06
O (0.9977, 0.2400, 0.8781)  2 Co 1.93-1.94, 1 Sn 2.06